Material: KTcNiO4
Method: DFT, GGA+U
State: optimized geometry

Geometry as POSCAR:
```
KTcNiO4
1.0
4.0064 0.0000 0.0000
0.0000 6.2957 0.0000
-2.0098 0.0000 7.8106
K Tc Ni O
2 2 2 8
direct
0.0285 0.2500 0.0587
0.9715 0.7500 0.9413
0.3375 0.2500 0.6746
0.6625 0.7500 0.3254
0.3073 0.7500 0.6142
0.6927 0.2500 0.3858
0.1776 0.7500 0.3556
0.2167 0.2500 0.4335
0.3973 0.5047 0.7935
0.3973 0.9953 0.7935
0.6027 0.0047 0.2065
0.6027 0.4953 0.2065
0.7833 0.7500 0.5665
0.8224 0.2500 0.6444
```

Computed properties:
Its magnetization is 3.7 μB/f.u. The value obtained for the density of states at the Fermi level is 0.29 states/eV/atom. As for the space group: P2_1/m. The volume is 197 Å³/cell. As for the total energy: -6.110 eV/atom.